Below is a relaxed structure of Tb2BeGe2Rh5, with properties calculated at the GGA-PBE level.

```
data_Tb2BeGe2Rh5
_space_group_name_H-M_alt 'P 4/m b m'
_space_group_IT_number 127
_space_group_name_Hall '-P 4 2ab'
_cell_length_a 9.742
_cell_length_b 9.742
_cell_length_c 3.467
_cell_angle_alpha 90.00
_cell_angle_beta 90.00
_cell_angle_gamma 90.00
loop_
_atom_site_label
_atom_site_type_symbol
_atom_site_fract_x
_atom_site_fract_y
_atom_site_fract_z
Tb1 Tb 0.172 0.328 0.000
Be1 Be 0.000 0.000 0.000
Ge1 Ge 0.129 0.629 0.000
Rh1 Rh 0.000 0.500 0.500
Rh2 Rh 0.063 0.801 0.500
```

Output
Total magnetic moment   0.0 μB per cell
Total energy   -6.579 eV per atom
Crystal system   tetragonal
ΔH_f (0 K)   -0.681 eV/atom
Mass density   9959 kg/m3
Fermi-level density of states   5.39 states/eV per cell